1.
Crystalline Ag2HgPd6 at its relaxed geometry, computed with PBE-GGA.

Computed properties:
Energy relative to the lowest polymorph listed for this composition: 0.0 meV/atom
Formation enthalpy at 0 K: -0.059 eV per atom
DOS(E_F): 0.844 states/eV/atom
Total magnetic moment: 0.00 μB/cell

Structure (CIF):
```
data_Ag2HgPd6
_chemical_formula_sum 'Ag4 Hg2 Pd12'
_space_group_name_H-M_alt 'P 42/m n m'
_space_group_IT_number 136
_space_group_name_Hall '-P 4n 2n'
_cell_length_a 8.540
_cell_length_b 8.540
_cell_length_c 4.061
_cell_angle_alpha 90.00
_cell_angle_beta 90.00
_cell_angle_gamma 90.00
loop_
_atom_site_label
_atom_site_type_symbol
_atom_site_fract_x
_atom_site_fract_y
_atom_site_fract_z
Ag1 Ag 0.173 0.173 0.000
Hg1 Hg 0.000 0.000 0.500
Pd1 Pd 0.002 0.337 0.500
Pd2 Pd 0.166 0.834 0.000
```


2.
Crystalline SbIrPt2 at its relaxed geometry, computed with PBE-GGA.

Computed properties:
DOS(E_F): 0.295 states/eV/atom
Energy relative to the elements, uncorrected: -0.044 eV per atom
Total magnetic moment: 0.00 μB/cell

Structure (CIF):
```
data_SbIrPt2
_chemical_formula_sum 'Sb2 Ir2 Pt4'
_space_group_name_H-M_alt 'C m m m'
_space_group_IT_number 65
_space_group_name_Hall '-C 2 2'
_cell_length_a 5.417
_cell_length_b 6.797
_cell_length_c 3.687
_cell_angle_alpha 90.00
_cell_angle_beta 90.00
_cell_angle_gamma 90.00
loop_
_atom_site_label
_atom_site_type_symbol
_atom_site_fract_x
_atom_site_fract_y
_atom_site_fract_z
Sb1 Sb 0.000 0.000 0.000
Ir1 Ir 0.000 0.500 0.000
Pt1 Pt 0.250 0.250 0.500
```


3.
Crystalline Eu2BrCl at its relaxed geometry, computed with PBE-GGA.

Computed properties:
DOS(E_F): 0.670 states/eV/atom
Energy relative to the elements, uncorrected: -1.433 eV per atom
Total magnetic moment: 44.52 μB/cell

Structure (CIF):
```
data_Eu2BrCl
_chemical_formula_sum 'Eu6 Br3 Cl3'
_space_group_name_H-M_alt 'R -3 m'
_space_group_IT_number 166
_space_group_name_Hall '-R 3 2"'
_cell_length_a 4.2391
_cell_length_b 4.2391
_cell_length_c 21.8467
_cell_angle_alpha 90.00
_cell_angle_beta 90.00
_cell_angle_gamma 120.00
loop_
_atom_site_label
_atom_site_type_symbol
_atom_site_fract_x
_atom_site_fract_y
_atom_site_fract_z
Eu1 Eu 0.0000 0.0000 0.2407
Br1 Br 0.0000 0.0000 0.0000
Cl1 Cl 0.0000 0.0000 0.5000
```


4.
Crystalline H2AuN at its relaxed geometry, computed with PBE-GGA.

Computed properties:
Energy relative to the lowest polymorph listed for this composition: 479.2 meV/atom
DOS(E_F): 0.000 states/eV/atom
Total magnetic moment: 0.00 μB/cell

Structure (CIF):
```
data_H2AuN
_chemical_formula_sum 'H4 Au2 N2'
_space_group_name_H-M_alt 'C 1 m 1'
_space_group_IT_number 8
_cell_length_a 11.220
_cell_length_b 2.865
_cell_length_c 3.426
_cell_angle_alpha 90.00
_cell_angle_beta 100.88
_cell_angle_gamma 90.00
loop_
_space_group_symop_operation_xyz
'x,y,z'
'x,-y,z'
'x+1/2,y+1/2,z'
'x+1/2,-y+1/2,z'
loop_
_atom_site_label
_atom_site_type_symbol
_atom_site_fract_x
_atom_site_fract_y
_atom_site_fract_z
H1 H 0.000 0.000 0.000
H2 H 0.229 0.500 0.108
Au1 Au 0.395 0.000 0.941
N1 N 0.264 0.500 0.848
```


5.
Crystalline NdY2Te3 at its relaxed geometry, computed with PBE-GGA.

Computed properties:
DOS(E_F): 0.519 states/eV/atom
Energy relative to the elements, uncorrected: -1.347 eV per atom
Total magnetic moment: 0.00 μB/cell

Structure (CIF):
```
data_NdY2Te3
_chemical_formula_sum 'Nd2 Y4 Te6'
_space_group_name_H-M_alt 'I m m m'
_space_group_IT_number 71
_space_group_name_Hall '-I 2 2'
_cell_length_a 4.418
_cell_length_b 6.218
_cell_length_c 13.261
_cell_angle_alpha 90.00
_cell_angle_beta 90.00
_cell_angle_gamma 90.00
loop_
_atom_site_label
_atom_site_type_symbol
_atom_site_fract_x
_atom_site_fract_y
_atom_site_fract_z
Nd1 Nd 0.000 0.000 0.000
Y1 Y 0.000 0.000 0.341
Te1 Te 0.000 0.500 0.000
Te2 Te 0.000 0.500 0.325
```


6.
Crystalline CsCd2Pb2 at its relaxed geometry, computed with PBE-GGA.

Computed properties:
Energy relative to the lowest polymorph listed for this composition: 0.0 meV/atom
Formation enthalpy at 0 K: -0.097 eV per atom
DOS(E_F): 0.469 states/eV/atom
Total magnetic moment: 0.00 μB/cell

Structure (CIF):
```
data_CsCd2Pb2
_chemical_formula_sum 'Cs2 Cd4 Pb4'
_space_group_name_H-M_alt 'I 4/m m m'
_space_group_IT_number 139
_space_group_name_Hall '-I 4 2'
_cell_length_a 5.084
_cell_length_b 5.084
_cell_length_c 13.447
_cell_angle_alpha 90.00
_cell_angle_beta 90.00
_cell_angle_gamma 90.00
loop_
_atom_site_label
_atom_site_type_symbol
_atom_site_fract_x
_atom_site_fract_y
_atom_site_fract_z
Cs1 Cs 0.000 0.000 0.000
Cd1 Cd 0.000 0.000 0.391
Pb1 Pb 0.000 0.500 0.250
```


Which formula does entry 4 have?
H2AuN


Look up the total magnetic moment of the sixth one.
0.00 μB/cell